The following is a PBE-GGA calculation of an optimized crystal structure of Na2Sc2Al2AgAu, from the Open Quantum Materials Database.

a = 4.716 Å, b = 4.716 Å, c = 6.671 Å
α = 90.00°, β = 90.00°, γ = 90.00°
Element x y z (fractional)
Na1 0.000 0.000 0.000
Na2 0.500 0.500 0.500
Sc1 0.000 0.500 0.249
Sc2 0.500 0.000 0.751
Al1 0.000 0.500 0.750
Al2 0.500 0.000 0.250
Ag1 0.000 0.000 0.500
Au1 0.500 0.500 0.000

- V (Å³/atom) = 18.5
- M_tot (μB per formula unit) = 0.006
- symmetry = P-4m2
- E (eV per atom) = -3.8143